# ScCoI2N (GGA-PBE, optimized geometry)
data_ScCoI2N
_chemical_formula_sum 'Sc1 Co1 I2 N1'
_space_group_name_H-M_alt 'P 4/m m m'
_space_group_IT_number 123
_space_group_name_Hall '-P 4 2'
_cell_length_a 5.4647
_cell_length_b 5.4647
_cell_length_c 3.5116
_cell_angle_alpha 90.00
_cell_angle_beta 90.00
_cell_angle_gamma 90.00
loop_
_atom_site_label
_atom_site_type_symbol
_atom_site_fract_x
_atom_site_fract_y
_atom_site_fract_z
_atom_site_occupancy
Sc1 Sc 0.0000 0.0000 0.0000 1
Co1 Co 0.5000 0.5000 0.5000 1
I1 I 0.0000 0.5000 0.5000 1
N1 N 0.5000 0.5000 0.0000 1
# Raw total energy = -4.8012 eV per atom
# Calculated volume = 105 Å³ per cell